Material: Ca6HPd2
Method: DFT, GGA-PBE
State: optimized geometry

Properties
The total magnetic moment is 0.0000 μB per atom. The raw total energy is -3.330 eV per atom.

Cell and atoms, written as CIF:
```
data_Ca6HPd2
_cell_length_a 6.591
_cell_length_b 7.692
_cell_length_c 11.547
_cell_angle_alpha 90.00
_cell_angle_beta 123.83
_cell_angle_gamma 90.00
_space_group_name_H-M_alt 'P 1 21/c 1'
_space_group_IT_number 14
loop_
_space_group_symop_operation_xyz
'x,y,z'
'-x,-y,-z'
'-x,y+1/2,-z+1/2'
'x,-y+1/2,z+1/2'
loop_
_atom_site_label
_atom_site_type_symbol
_atom_site_fract_x
_atom_site_fract_y
_atom_site_fract_z
_atom_site_occupancy
Ca1 Ca 0.113 0.037 0.245 1
Ca2 Ca 0.225 0.679 0.065 1
Ca3 Ca 0.387 0.169 0.061 1
H1 H 0.000 0.000 0.000 1
Pd1 Pd 0.297 0.117 0.753 1
```